# 1
Density functional theory data (GGA-PBE) for an optimized crystal structure of CrTeOs.

Calculated values
**Distance to the lowest polymorph of the same formula**: 25.9 kJ/mol of atoms
**DOS at the Fermi energy**: 0.98 states/eV/atom
**V**: 20.86 A^3/atom
**Spin magnetization**: 0.16 μB/atom

Lattice parameters (Å, degrees): 4.095 4.095 25.848 90.00 90.00 120.00
Each line ends with the local moment (μB).
Element x y z (fractional)
1 Cr 0.000 0.000 0.794  1.57
2 Cr 0.333 0.667 0.140  -0.94
3 Cr 0.333 0.667 0.461  1.57
4 Cr 0.667 0.333 0.127  1.57
5 Cr 0.000 0.000 0.474  -0.94
6 Cr 0.667 0.333 0.807  -0.94
7 Os 0.667 0.333 0.415  0.24
8 Os 0.667 0.333 0.713  0.04
9 Os 0.333 0.667 0.046  0.04
10 Os 0.000 0.000 0.082  0.24
11 Os 0.000 0.000 0.379  0.04
12 Os 0.333 0.667 0.748  0.24
13 Te 0.667 0.333 0.527  -0.01
14 Te 0.000 0.000 0.656  0.02
15 Te 0.000 0.000 0.194  -0.01
16 Te 0.667 0.333 0.990  0.02
17 Te 0.333 0.667 0.323  0.02
18 Te 0.333 0.667 0.861  -0.01

---

# 2
Density functional theory data (GGA-PBE) for an optimized crystal structure of Cr2TeOs.

Calculated values
**DOS at the Fermi energy**: 0.77 states/eV/atom
**V**: 14.72 A^3/atom
**Spin magnetization**: 0.00 μB/atom

Lattice parameters (Å, degrees): 2.990 2.990 6.585 90.00 90.00 89.99
Element x y z (fractional)
1 Cr 0.000 0.000 0.486
2 Cr 0.000 0.000 0.014
3 Te 0.500 0.500 0.750
4 Os 0.500 0.500 0.250

---

# 3
Density functional theory data (GGA-PBE) for an optimized crystal structure of CrTe2Os.

Calculated values
**Distance to the lowest polymorph of the same formula**: 32.5 kJ/mol of atoms
**DOS at the Fermi energy**: 0.82 states/eV/atom
**V**: 21.93 A^3/atom
**Spin magnetization**: 0.39 μB/atom

Lattice parameters (Å, degrees): 10.288 10.288 10.288 17.68 17.68 17.68
Each line ends with the local moment (μB).
Element x y z (fractional)
1 Os 0.764 0.764 0.764  -0.29
2 Cr 0.488 0.488 0.488  1.86
3 Te 0.223 0.223 0.223  -0.05
4 Te 0.025 0.025 0.025  -0.03

---

# 4
Density functional theory data (GGA-PBE) for an optimized crystal structure of Cr2TeOs.

Calculated values
**DOS at the Fermi energy**: 1.16 states/eV/atom
**V**: 15.04 A^3/atom
**Spin magnetization**: 0.96 μB/atom

Lattice parameters (Å, degrees): 4.756 4.756 4.756 130.87 130.87 72.02
Each line ends with the local moment (μB).
Element x y z (fractional)
1 Cr 0.500 0.500 0.000  1.94
2 Cr 0.000 0.000 0.000  1.94
3 Te 0.750 0.250 0.500  -0.06
4 Os 0.250 0.750 0.500  -0.16

---

# 5
Density functional theory data (GGA-PBE) for an optimized crystal structure of CrTe2Os.

Calculated values
**Distance to the lowest polymorph of the same formula**: 10.7 kJ/mol of atoms
**DOS at the Fermi energy**: 0.78 states/eV/atom
**V**: 23.49 A^3/atom
**Spin magnetization**: 0.21 μB/atom

Lattice parameters (Å, degrees): 4.207 4.207 6.941 74.53 74.53 53.25
Each line ends with the local moment (μB).
Element x y z (fractional)
1 Os 0.230 0.230 0.337  -0.22
2 Te 0.763 0.763 0.639  -0.02
3 Te 0.985 0.985 0.106  -0.01
4 Cr 0.522 0.522 0.418  1.04

---

# 6
Density functional theory data (GGA-PBE) for an optimized crystal structure of CrTe2Os.

Calculated values
**Distance to the lowest polymorph of the same formula**: 34.0 kJ/mol of atoms
**DOS at the Fermi energy**: 0.77 states/eV/atom
**V**: 21.85 A^3/atom
**Spin magnetization**: 1.06 μB/atom

Lattice parameters (Å, degrees): 4.069 4.069 6.529 71.80 71.80 60.13
Each line ends with the local moment (μB).
Element x y z (fractional)
1 Cr 0.750 0.750 0.750  3.80
2 Te 0.991 0.991 0.028  -0.07
3 Te 0.509 0.509 0.472  -0.07
4 Os 0.250 0.250 0.250  0.17

---

# 7
Density functional theory data (GGA-PBE) for an optimized crystal structure of Cr2TeOs.

Calculated values
**DOS at the Fermi energy**: 1.42 states/eV/atom
**V**: 15.17 A^3/atom
**Spin magnetization**: 0.21 μB/atom

Lattice parameters (Å, degrees): 8.329 8.329 8.329 20.27 20.27 20.27
Each line ends with the local moment (μB).
Element x y z (fractional)
1 Os 0.250 0.250 0.250  0.00
2 Cr 0.503 0.503 0.503  0.39
3 Cr 0.997 0.997 0.997  0.39
4 Te 0.750 0.750 0.750  0.00

---

# 8
Density functional theory data (GGA-PBE) for an optimized crystal structure of CrTe2Os.

Calculated values
**Distance to the lowest polymorph of the same formula**: 19.6 kJ/mol of atoms
**DOS at the Fermi energy**: 0.94 states/eV/atom
**V**: 22.63 A^3/atom
**Spin magnetization**: 0.54 μB/atom

Lattice parameters (Å, degrees): 3.064 3.868 7.636 90.00 90.00 90.00
Each line ends with the local moment (μB).
Element x y z (fractional)
1 Te 0.500 0.500 0.354  -0.05
2 Te 0.000 0.000 0.896  -0.06
3 Cr 0.000 0.000 0.551  2.34
4 Os 0.500 0.500 0.698  -0.25

---

# 9
Density functional theory data (GGA-PBE) for an optimized crystal structure of CrTe2Os.

Calculated values
**Distance to the lowest polymorph of the same formula**: 92.0 kJ/mol of atoms
**DOS at the Fermi energy**: 0.91 states/eV/atom
**V**: 20.07 A^3/atom
**Spin magnetization**: 0.99 μB/atom

Lattice parameters (Å, degrees): 4.842 4.842 4.842 60.00 60.00 60.00
Each line ends with the local moment (μB).
Element x y z (fractional)
1 Os 0.750 0.750 0.750  0.30
2 Te 0.000 0.000 0.000  0.04
3 Te 0.250 0.250 0.250  -0.02
4 Cr 0.500 0.500 0.500  3.29

---

# 10
Density functional theory data (GGA-PBE) for an optimized crystal structure of CrTeOs.

Calculated values
**Distance to the lowest polymorph of the same formula**: 50.5 kJ/mol of atoms
**DOS at the Fermi energy**: 0.59 states/eV/atom
**V**: 16.46 A^3/atom
**Spin magnetization**: 0.00 μB/atom

Lattice parameters (Å, degrees): 5.926 5.926 2.986 75.40 75.41 29.19
Element x y z (fractional)
1 Cr 0.016 0.016 0.984
2 Te 0.341 0.341 0.659
3 Os 0.643 0.643 0.357

---

# 11
Density functional theory data (GGA-PBE) for an optimized crystal structure of CrTeOs.

Calculated values
**Distance to the lowest polymorph of the same formula**: 0.0 kJ/mol of atoms
**DOS at the Fermi energy**: 0.66 states/eV/atom
**V**: 21.83 A^3/atom
**Spin magnetization**: 0.35 μB/atom

Lattice parameters (Å, degrees): 3.991 3.862 16.993 90.00 90.00 90.00
Each line ends with the local moment (μB).
Element x y z (fractional)
1 Te 0.000 0.500 0.467  0.01
2 Te 0.500 0.000 0.282  -0.04
3 Te 0.500 0.500 0.782  -0.04
4 Te 0.000 0.000 0.967  0.01
5 Os 0.500 0.000 0.076  -0.03
6 Os 0.000 0.000 0.584  -0.21
7 Os 0.000 0.500 0.084  -0.21
8 Os 0.500 0.500 0.576  -0.03
9 Cr 0.500 0.500 0.165  0.39
10 Cr 0.000 0.500 0.678  1.79
11 Cr 0.500 0.000 0.665  0.39
12 Cr 0.000 0.000 0.178  1.79

---

# 12
Density functional theory data (GGA-PBE) for an optimized crystal structure of Cr2TeOs.

Calculated values
**DOS at the Fermi energy**: 0.85 states/eV/atom
**V**: 15.26 A^3/atom
**Spin magnetization**: 1.26 μB/atom

Lattice parameters (Å, degrees): 3.952 3.966 3.894 90.00 90.00 90.00
Each line ends with the local moment (μB).
Element x y z (fractional)
1 Cr 0.500 0.500 0.000  2.29
2 Cr 0.000 0.000 0.000  2.30
3 Te 0.000 0.500 0.500  -0.06
4 Os 0.500 0.000 0.500  0.16

---

# 13
Density functional theory data (GGA-PBE) for an optimized crystal structure of CrTeOs.

Calculated values
**Distance to the lowest polymorph of the same formula**: 25.8 kJ/mol of atoms
**DOS at the Fermi energy**: 0.92 states/eV/atom
**V**: 19.82 A^3/atom
**Spin magnetization**: 0.02 μB/atom

Lattice parameters (Å, degrees): 2.910 3.708 22.045 90.00 90.00 90.00
Each line ends with the local moment (μB).
Element x y z (fractional)
1 Cr 0.500 0.000 0.810  1.98
2 Cr 0.000 0.000 0.260  -1.76
3 Cr 0.000 0.500 0.760  -1.76
4 Cr 0.500 0.500 0.310  1.98
5 Os 0.500 0.500 0.197  0.00
6 Os 0.000 0.000 0.141  -0.12
7 Os 0.000 0.500 0.641  -0.12
8 Os 0.500 0.000 0.697  0.00
9 Te 0.500 0.500 0.538  0.01
10 Te 0.000 0.500 0.882  -0.03
11 Te 0.000 0.000 0.382  -0.03
12 Te 0.500 0.000 0.038  0.01

---

# 14
Density functional theory data (GGA-PBE) for an optimized crystal structure of Cr2TeOs.

Calculated values
**DOS at the Fermi energy**: 0.51 states/eV/atom
**V**: 14.91 A^3/atom
**Spin magnetization**: 0.47 μB/atom

Lattice parameters (Å, degrees): 4.386 4.386 4.386 60.00 60.00 60.00
Each line ends with the local moment (μB).
Element x y z (fractional)
1 Cr 0.750 0.750 0.750  2.52
2 Cr 0.000 0.000 0.000  -0.83
3 Os 0.500 0.500 0.500  -0.04
4 Te 0.250 0.250 0.250  0.05

---

Number 1: formation energy (no corrections) 309 meV per atom. Number 2: formation energy (no corrections) 455 meV per atom. Number 3: formation energy (no corrections) 476 meV per atom. Number 4: formation energy (no corrections) 536 meV per atom. Number 5: formation energy (no corrections) 250 meV per atom. Number 6: formation energy (no corrections) 492 meV per atom. Number 7: formation energy (no corrections) 648 meV per atom. Number 8: formation energy (no corrections) 342 meV per atom. Number 9: formation energy (no corrections) 1093 meV per atom. Number 10: formation energy (no corrections) 563 meV per atom. Number 11: formation energy (no corrections) 40 meV per atom. Number 12: formation energy (no corrections) 520 meV per atom. Number 13: formation energy (no corrections) 308 meV per atom. Number 14: formation energy (no corrections) 465 meV per atom.